Entry 1:
Entry from Alexandria via LeMat-Bulk: a geometry-optimized ErSi3Ni structure (GGA-PBEsol). Values from VASP.

Quantum ESPRESSO input file:
```
&SYSTEM
  ibrav = 0, nat = 10, ntyp = 3
/
ATOMIC_SPECIES
Ni 58.69 Ni.upf
Si 28.09 Si.upf
Er 167.26 Er.upf
CELL_PARAMETERS angstrom
3.878 0.000 0.000
0.000 3.881 0.000
-1.939 0.000 10.408
ATOMIC_POSITIONS angstrom
Ni 1.939 1.941 8.095
Ni 0.000 1.941 2.313
Si 1.939 1.941 5.873
Si 0.000 0.000 1.175
Si 0.000 1.941 4.535
Si 1.939 0.000 9.233
Si 1.939 1.941 1.176
Si 0.000 1.941 9.231
Er 0.000 0.000 6.891
Er 1.939 0.000 3.517
```

Results
- Fermi-level density of states (states/eV per cell) = 2.27
- formation energy (no corrections) (eV per atom) = -0.772
- SG = Cmmm
- total energy (eV per atom) = -6.44

***

Entry 2:
Entry from Alexandria via LeMat-Bulk: a geometry-optimized Nd3Sn7Ru2 structure (GGA-PBEsol). Values from VASP.

Quantum ESPRESSO input file:
```
&SYSTEM
  ibrav = 0, nat = 12, ntyp = 3
/
ATOMIC_SPECIES
Ru 101.07 Ru.upf
Nd 144.24 Nd.upf
Sn 118.71 Sn.upf
CELL_PARAMETERS angstrom
4.571 0.000 0.000
0.000 4.643 0.000
0.000 2.322 13.763
ATOMIC_POSITIONS angstrom
Ru 2.286 2.322 3.510
Ru 2.286 4.643 10.253
Nd 2.286 2.322 0.000
Nd 0.000 4.643 5.022
Nd 0.000 2.322 8.741
Sn 2.286 2.322 6.043
Sn 2.286 4.643 7.720
Sn 0.000 2.322 2.370
Sn 0.000 0.000 0.000
Sn 0.000 4.643 11.393
Sn 2.286 2.322 11.358
Sn 2.286 4.643 2.405
```

Results
- Fermi-level density of states (states/eV per cell) = 6.87
- ΔH_f (0 K) (eV per atom) = -0.54
- SG = Cmmm
- total energy (eV per atom) = -6.01

***

Entry 3:
Entry from Alexandria via LeMat-Bulk: a geometry-optimized Ba2TaIn structure (GGA-PBEsol). Values from VASP.

Quantum ESPRESSO input file:
```
&SYSTEM
  ibrav = 0, nat = 4, ntyp = 3
/
ATOMIC_SPECIES
Ba 137.33 Ba.upf
In 114.82 In.upf
Ta 180.95 Ta.upf
CELL_PARAMETERS angstrom
3.302 0.000 0.000
0.000 5.192 0.000
0.000 0.000 7.096
ATOMIC_POSITIONS angstrom
Ba 0.000 0.000 5.299
Ba 0.000 0.000 1.797
In 1.651 2.596 0.000
Ta 1.651 2.596 3.548
```

Results
- Fermi-level density of states (states/eV per cell) = 5.18
- ΔH_f (0 K) (eV per atom) = 0.71
- SG = Pmmm
- total energy (eV per atom) = -4.25

***

Entry 4:
Entry from Alexandria via LeMat-Bulk: a geometry-optimized NbH2 structure (GGA-PBEsol). Values from VASP.

Quantum ESPRESSO input file:
```
&SYSTEM
  ibrav = 0, nat = 3, ntyp = 2
/
ATOMIC_SPECIES
H 1.01 H.upf
Nb 92.91 Nb.upf
CELL_PARAMETERS angstrom
3.197 0.000 0.000
1.598 2.769 0.000
1.598 0.923 2.610
ATOMIC_POSITIONS angstrom
H 4.795 2.769 1.958
H 1.598 0.923 0.653
Nb 0.000 0.000 0.000
```

Results
- Fermi-level density of states (states/eV per cell) = 0.88
- SG = Fm-3m
- total energy (eV per atom) = -6.11

***

Entry 5:
Entry from Alexandria via LeMat-Bulk: a geometry-optimized LaAl2Tl structure (GGA-PBEsol). Values from VASP.

Quantum ESPRESSO input file:
```
&SYSTEM
  ibrav = 0, nat = 4, ntyp = 3
/
ATOMIC_SPECIES
Tl 204.38 Tl.upf
Al 26.98 Al.upf
La 138.91 La.upf
CELL_PARAMETERS angstrom
-0.254 4.063 1.304
-0.245 -1.369 4.219
5.428 -1.141 -2.394
ATOMIC_POSITIONS angstrom
Tl 2.509 2.136 0.839
Al 4.340 1.529 3.087
Al 2.734 -0.571 2.312
La 0.027 1.358 2.781
```

Results
- Fermi-level density of states (states/eV per cell) = 2.45
- ΔH_f (0 K) (eV per atom) = -0.19
- SG = Imm2
- total energy (eV per atom) = -4.23

***

Entry 6:
Entry from Alexandria via LeMat-Bulk: a geometry-optimized BeZnAsBr2 structure (GGA-PBEsol). Values from VASP.

Quantum ESPRESSO input file:
```
&SYSTEM
  ibrav = 0, nat = 5, ntyp = 4
/
ATOMIC_SPECIES
Be 9.01 Be.upf
As 74.92 As.upf
Zn 65.41 Zn.upf
Br 79.90 Br.upf
CELL_PARAMETERS angstrom
-4.322 1.025 2.288
0.908 -3.551 3.307
2.305 3.277 2.885
ATOMIC_POSITIONS angstrom
Be -0.554 0.376 4.240
As -2.161 0.513 1.144
Zn 0.000 0.000 0.000
Br 1.152 1.638 1.443
Br 0.454 -1.775 1.654
```

Results
- Fermi-level density of states (states/eV per cell) = 3.62
- formation energy (no corrections) (eV per atom) = 0.684
- SG = P4/mmm
- total energy (eV per atom) = -2.20

***

Entry 7:
Entry from Alexandria via LeMat-Bulk: a geometry-optimized KBaCr2 structure (GGA-PBEsol). Values from VASP.

Quantum ESPRESSO input file:
```
&SYSTEM
  ibrav = 0, nat = 4, ntyp = 3
/
ATOMIC_SPECIES
Ba 137.33 Ba.upf
Cr 52.00 Cr.upf
K 39.10 K.upf
CELL_PARAMETERS angstrom
-5.339 1.363 1.213
-3.011 -3.236 3.508
-1.329 1.895 5.146
ATOMIC_POSITIONS angstrom
Ba -4.839 0.011 4.933
Cr 0.000 0.000 0.000
Cr -7.259 0.017 7.400
K -2.420 0.006 2.467
```

Results
- Fermi-level density of states (states/eV per cell) = 3.99
- ΔH_f (0 K) (eV per atom) = 1.28
- SG = F-43m
- total energy (eV per atom) = -4.66

***

Entry 8:
Entry from Alexandria via LeMat-Bulk: a geometry-optimized MnAl24Cr structure (GGA-PBEsol). Values from VASP.

Quantum ESPRESSO input file:
```
&SYSTEM
  ibrav = 0, nat = 26, ntyp = 3
/
ATOMIC_SPECIES
Mn 54.94 Mn.upf
Al 26.98 Al.upf
Cr 52.00 Cr.upf
CELL_PARAMETERS angstrom
6.439 0.020 0.001
2.135 6.075 0.001
-0.021 -0.015 10.538
ATOMIC_POSITIONS angstrom
Mn 4.277 3.040 5.270
Al 2.177 4.325 4.299
Al 4.312 1.293 9.563
Al 4.241 4.787 0.977
Al 6.376 1.755 6.241
Al 4.800 0.634 4.299
Al 2.639 3.647 9.563
Al 5.915 2.432 0.977
Al 3.753 5.446 6.241
Al 1.622 4.026 1.609
Al 3.759 0.993 6.874
Al 4.794 5.087 3.666
Al 6.931 2.054 8.931
Al 6.380 2.856 3.666
Al 4.218 5.871 8.931
Al 4.335 0.209 1.609
Al 2.173 3.224 6.874
Al 2.094 1.488 0.637
Al 6.377 4.533 5.903
Al 2.176 1.547 4.637
Al 6.459 4.591 9.903
Al 3.760 2.673 2.698
Al 8.045 5.719 7.953
Al 0.508 0.361 2.587
Al 4.793 3.407 7.842
Cr 0.000 0.000 0.000
```

Results
- Fermi-level density of states (states/eV per cell) = 7.23
- ΔH_f (0 K) (eV per atom) = -0.08
- SG = C2/m
- total energy (eV per atom) = -4.62